1.
{"formula": "Nb2SnRh", "functional": "PBE", "state": "optimized geometry", "m_tot_mub_per_cell": 0.00, "formation_enthalpy_0k_ev_per_atom": -0.293, "energy_ev_per_cell": -32.67, "lattice_angstrom": [[4.515, 0.000, 0.000], [0.000, 3.955, 0.000], [0.000, 0.000, 3.955]], "species": ["Sn", "Rh", "Nb", "Nb"], "fractional_positions": [[0.500, 0.000, 0.000], [0.500, 0.500, 0.500], [0.000, 0.000, 0.500], [0.000, 0.500, 0.000]]}

=====

2.
{"formula": "Nb2SnRh", "functional": "PBE", "state": "optimized geometry", "m_tot_mub_per_cell": 0.00, "formation_enthalpy_0k_ev_per_atom": -0.238, "energy_ev_per_cell": -64.89, "lattice_angstrom": [[4.538, 0.000, 0.000], [0.000, 2.799, 0.954], [0.000, 0.562, 11.497]], "species": ["Sn", "Rh", "Sn", "Nb", "Nb", "Nb", "Nb", "Rh"], "fractional_positions": [[0.250, 0.377, 0.186], [0.250, 0.771, 0.660], [0.750, 0.623, 0.814], [0.750, 0.050, 0.077], [0.250, 0.512, 0.429], [0.750, 0.488, 0.571], [0.250, 0.950, 0.923], [0.750, 0.229, 0.340]]}

=====

3.
{"formula": "Nb5SnRh6", "functional": "PBE", "state": "optimized geometry", "m_tot_mub_per_cell": 0.00, "formation_enthalpy_0k_ev_per_atom": -0.421, "energy_ev_per_cell": -103.51, "lattice_angstrom": [[4.081, 0.000, 0.013], [2.040, 6.166, 0.007], [-0.025, 0.000, 7.732]], "species": ["Nb", "Rh", "Rh", "Rh", "Nb", "Nb", "Sn", "Rh", "Rh", "Rh", "Nb", "Nb"], "fractional_positions": [[0.669, 0.663, 0.000], [0.169, 0.663, 0.250], [0.831, 0.337, 0.250], [0.831, 0.337, 0.750], [0.000, 0.000, 0.500], [0.668, 0.664, 0.500], [0.000, 0.000, 0.000], [0.500, 0.000, 0.250], [0.500, 0.000, 0.750], [0.169, 0.663, 0.750], [0.332, 0.336, 0.500], [0.331, 0.337, 0.000]]}